! SrGa2Pd2, optimized geometry, DFT PBE; values from VASP
! space-group type	P4/mbm, No. 127
! total moment	0.00	μB/cell
&SYSTEM
  ibrav = 0, nat = 10, ntyp = 3
/
ATOMIC_SPECIES
Sr 87.62 Sr.upf
Ga 69.72 Ga.upf
Pd 106.42 Pd.upf
CELL_PARAMETERS angstrom
7.863 0.000 0.000
0.000 7.863 0.000
0.000 0.000 3.008
ATOMIC_POSITIONS crystal
Sr 0.000 0.000 0.000
Sr 0.500 0.500 0.000
Ga 0.118 0.382 0.000
Ga 0.382 0.882 0.000
Ga 0.618 0.118 0.000
Ga 0.882 0.618 0.000
Pd 0.180 0.680 0.500
Pd 0.320 0.180 0.500
Pd 0.680 0.820 0.500
Pd 0.820 0.320 0.500

=====

! Sr3Ga9Pd2, optimized geometry, DFT PBE; values from VASP
! space-group type	Immm, No. 71
! total moment	0.00	μB/cell
&SYSTEM
  ibrav = 0, nat = 14, ntyp = 3
/
ATOMIC_SPECIES
Sr 87.62 Sr.upf
Ga 69.72 Ga.upf
Pd 106.42 Pd.upf
CELL_PARAMETERS angstrom
-2.220 5.091 6.454
2.220 -5.091 6.454
2.220 5.091 -6.454
ATOMIC_POSITIONS crystal
Sr 0.000 0.000 0.000
Sr 0.314 0.314 0.000
Sr 0.686 0.686 0.000
Ga 0.031 0.669 0.362
Ga 0.153 0.874 0.279
Ga 0.306 0.669 0.638
Ga 0.405 0.126 0.279
Ga 0.500 0.000 0.500
Ga 0.595 0.874 0.721
Ga 0.694 0.331 0.362
Ga 0.847 0.126 0.721
Ga 0.969 0.331 0.638
Pd 0.275 0.500 0.775
Pd 0.725 0.500 0.225

=====

! SrGa4Pd8, optimized geometry, DFT PBE; values from VASP
! space-group type	I4/mmm, No. 139
! total moment	0.00	μB/cell
&SYSTEM
  ibrav = 0, nat = 13, ntyp = 3
/
ATOMIC_SPECIES
Sr 87.62 Sr.upf
Ga 69.72 Ga.upf
Pd 106.42 Pd.upf
CELL_PARAMETERS angstrom
-4.472 4.472 2.691
4.472 -4.472 2.691
4.472 4.472 -2.691
ATOMIC_POSITIONS crystal
Sr 0.000 0.000 0.000
Ga 0.000 0.000 0.500
Ga 0.000 0.500 0.000
Ga 0.500 0.000 0.000
Ga 0.500 0.500 0.500
Pd 0.000 0.342 0.342
Pd 0.000 0.658 0.658
Pd 0.275 0.500 0.775
Pd 0.342 0.000 0.342
Pd 0.500 0.275 0.775
Pd 0.500 0.725 0.225
Pd 0.658 0.000 0.658
Pd 0.725 0.500 0.225

=====

! Sr2Ga2Pd3, optimized geometry, DFT PBE; values from VASP
! space-group type	C2/m, No. 12
! total moment	0.00	μB/cell
&SYSTEM
  ibrav = 0, nat = 7, ntyp = 3
/
ATOMIC_SPECIES
Sr 87.62 Sr.upf
Ga 69.72 Ga.upf
Pd 106.42 Pd.upf
CELL_PARAMETERS angstrom
5.759 -2.024 0.000
5.759 2.024 0.000
-3.125 0.000 6.705
ATOMIC_POSITIONS crystal
Sr 0.129 0.129 0.253
Sr 0.871 0.871 0.747
Ga 0.138 0.138 0.718
Ga 0.862 0.862 0.282
Pd 0.350 0.350 0.068
Pd 0.500 0.500 0.500
Pd 0.650 0.650 0.932

=====

! SrGa3Pd9, optimized geometry, DFT PBE; values from VASP
! space-group type	C2/m, No. 12
! total moment	0.00	μB/cell
&SYSTEM
  ibrav = 0, nat = 13, ntyp = 3
/
ATOMIC_SPECIES
Sr 87.62 Sr.upf
Ga 69.72 Ga.upf
Pd 106.42 Pd.upf
CELL_PARAMETERS angstrom
2.666 -6.510 0.000
2.666 6.510 0.000
-2.284 0.000 6.251
ATOMIC_POSITIONS crystal
Sr 0.000 0.000 0.000
Ga 0.000 0.500 0.000
Ga 0.500 0.000 0.000
Ga 0.500 0.500 0.500
Pd 0.000 0.000 0.500
Pd 0.032 0.674 0.664
Pd 0.292 0.517 0.777
Pd 0.326 0.968 0.336
Pd 0.483 0.708 0.223
Pd 0.517 0.292 0.777
Pd 0.674 0.032 0.664
Pd 0.708 0.483 0.223
Pd 0.968 0.326 0.336

=====

! Sr6GaPd3, optimized geometry, DFT PBE; values from VASP
! space-group type	P2_1/m, No. 11
! total moment	0.00	μB/cell
&SYSTEM
  ibrav = 0, nat = 20, ntyp = 3
/
ATOMIC_SPECIES
Sr 87.62 Sr.upf
Ga 69.72 Ga.upf
Pd 106.42 Pd.upf
CELL_PARAMETERS angstrom
11.522 0.000 0.000
0.000 4.501 0.000
-5.278 0.000 13.187
ATOMIC_POSITIONS crystal
Sr 0.014 0.250 0.391
Sr 0.065 0.250 0.908
Sr 0.245 0.750 0.325
Sr 0.341 0.750 0.094
Sr 0.346 0.750 0.809
Sr 0.388 0.250 0.577
Sr 0.612 0.750 0.423
Sr 0.654 0.250 0.191
Sr 0.659 0.250 0.906
Sr 0.755 0.250 0.675
Sr 0.935 0.750 0.092
Sr 0.986 0.750 0.609
Ga 0.410 0.250 0.277
Ga 0.590 0.750 0.723
Pd 0.166 0.250 0.160
Pd 0.191 0.750 0.524
Pd 0.416 0.250 0.970
Pd 0.584 0.750 0.030
Pd 0.809 0.250 0.476
Pd 0.834 0.750 0.840

=====

! Sr2Ga3Pd2, optimized geometry, DFT PBE; values from VASP
! space-group type	C2/m, No. 12
! total moment	0.00	μB/cell
&SYSTEM
  ibrav = 0, nat = 7, ntyp = 3
/
ATOMIC_SPECIES
Sr 87.62 Sr.upf
Ga 69.72 Ga.upf
Pd 106.42 Pd.upf
CELL_PARAMETERS angstrom
5.629 -2.091 0.000
5.629 2.091 0.000
-3.787 0.000 6.721
ATOMIC_POSITIONS crystal
Sr 0.136 0.136 0.261
Sr 0.864 0.864 0.739
Ga 0.348 0.348 0.061
Ga 0.500 0.500 0.500
Ga 0.652 0.652 0.939
Pd 0.127 0.127 0.702
Pd 0.873 0.873 0.298

=====

! Sr2Ga3Pd5, optimized geometry, DFT PBE; values from VASP
! space-group type	Ibam, No. 72
! total moment	0.00	μB/cell
&SYSTEM
  ibrav = 0, nat = 20, ntyp = 3
/
ATOMIC_SPECIES
Sr 87.62 Sr.upf
Ga 69.72 Ga.upf
Pd 106.42 Pd.upf
CELL_PARAMETERS angstrom
-5.023 6.534 3.124
5.023 -6.534 3.124
5.023 6.534 -3.124
ATOMIC_POSITIONS crystal
Sr 0.135 0.242 0.377
Sr 0.365 0.742 0.107
Sr 0.635 0.258 0.893
Sr 0.865 0.758 0.623
Ga 0.114 0.632 0.746
Ga 0.250 0.250 0.000
Ga 0.386 0.132 0.519
Ga 0.614 0.868 0.481
Ga 0.750 0.750 0.000
Ga 0.886 0.368 0.254
Pd 0.023 0.750 0.273
Pd 0.121 0.881 0.002
Pd 0.250 0.750 0.500
Pd 0.379 0.381 0.759
Pd 0.477 0.750 0.727
Pd 0.523 0.250 0.273
Pd 0.621 0.619 0.241
Pd 0.750 0.250 0.500
Pd 0.879 0.119 0.998
Pd 0.977 0.250 0.727

=====

| no. | energy relative to the elements (meV/atom) | uncorrected energy (eV/cell) |
| --- | --- | --- |
| 1 | -493 | -41.17 |
| 2 | -523 | -50.00 |
| 3 | -599 | -63.11 |
| 4 | -656 | -29.59 |
| 5 | -543 | -64.56 |
| 6 | -433 | -66.06 |
| 7 | -642 | -27.32 |
| 8 | -692 | -90.66 |